{"formula": "Tb5Er6Tl", "functional": "GGA-PBE", "state": "relaxed", "lattice": [[-2.459, 4.960, 7.457], [2.459, -4.960, 7.457], [2.459, 4.960, -7.457]], "species": ["Tb", "Tb", "Tb", "Tb", "Tb", "Er", "Er", "Er", "Er", "Er", "Er", "Tl"], "fractional_positions": [[0.000, 0.000, 0.000], [0.163, 0.663, 0.500], [0.332, 0.332, 0.000], [0.668, 0.668, 0.000], [0.837, 0.337, 0.500], [0.086, 0.833, 0.253], [0.255, 0.500, 0.755], [0.420, 0.167, 0.253], [0.580, 0.833, 0.747], [0.745, 0.500, 0.245], [0.914, 0.167, 0.747], [0.500, 0.000, 0.500]], "final_energy_ev_per_atom": -4.433, "magnetic_moment_mub_per_fu": 0.00, "ef_ev_per_atom": -0.0251}